# HoB2C

A relaxed structure of HoB2C (PBE, Alexandria via LeMat-Bulk).

Values from the calculation:
Calculated volume ... 10.1 Å³/atom
Magnetization ... 0.00 μB per formula unit
Total energy ... -0.512 Ry/atom
DOS(E_F) ... 0.20 states/eV/atom

a = 4.3112 Å, b = 3.0366 Å, c = 6.2676 Å
α = 90.00°, β = 99.38°, γ = 90.00°
Space group P2_1/m (No. 11)
Inequivalent atoms, fractional coordinates:
Ho: 0.0562 0.2500 0.2437 (multiplicity 2)
B: 0.3684 0.7500 0.5369 (multiplicity 2)
B: 0.4925 0.2500 0.9341 (multiplicity 2)
C: 0.4310 0.2500 0.6678 (multiplicity 2)